TaBrCl2 at its PBEsol-relaxed geometry. Source: the Alexandria database, functional meta-GGA SCAN.

a = 3.005 Å, b = 3.380 Å, c = 9.813 Å
α = 90.00°, β = 90.00°, γ = 116.40°
Element x y z (fractional)
Cl  0.000  0.000  0.997
Ta  0.000  0.000  0.496
Br  0.500  0.000  0.707
Cl  0.500  0.000  0.300

## Properties
Crystal system ... orthorhombic
N(E_F) ... 0.60 states/eV per atom
ΔE_f (raw) ... -205 meV per atom
Spin magnetization ... 0.0 μB per formula unit
E above lowest polymorph ... 0.658 eV/atom